Below is a geometry-optimized CsK4Pb4 structure, with properties calculated at the GGA-PBE level.

a b c (Å): 7.6324 7.6324 13.3624
angles (deg): 90.00 90.00 90.00
With the nearest neighbours (Å) after each atom.
Atoms (fractional coordinates):
1 Cs 0.2500 0.7500 0.2500  8 Pb 4.26, 4 K 4.29
2 Cs 0.7500 0.2500 0.7500  8 Pb 4.26, 4 K 4.29
3 K 0.0204 0.2500 0.0311  3 K 3.50-3.92, 5 Pb 3.64-3.91
4 K 0.2500 0.0204 0.5311  3 K 3.50-3.92, 5 Pb 3.64-3.91
5 K 0.2500 0.4796 0.5311  3 K 3.50-3.92, 5 Pb 3.64-3.91
6 K 0.4796 0.2500 0.0311  3 K 3.50-3.92, 5 Pb 3.64-3.91
7 K 0.5204 0.7500 0.9689  3 K 3.50-3.92, 5 Pb 3.64-3.91
8 K 0.7500 0.5204 0.4689  3 K 3.50-3.92, 5 Pb 3.64-3.91
9 K 0.7500 0.9796 0.4689  3 K 3.50-3.92, 5 Pb 3.64-3.91
10 K 0.9796 0.7500 0.9689  3 K 3.50-3.92, 5 Pb 3.64-3.91
11 Pb 0.0219 0.2500 0.3038  3 Pb 3.27-3.48, 1 K 3.64
12 Pb 0.2500 0.0219 0.8038  3 Pb 3.27-3.48, 1 K 3.64
13 Pb 0.2500 0.4781 0.8038  3 Pb 3.27-3.48, 1 K 3.64
14 Pb 0.4781 0.2500 0.3038  3 Pb 3.27-3.48, 1 K 3.64
15 Pb 0.5219 0.7500 0.6962  3 Pb 3.27-3.48, 1 K 3.64
16 Pb 0.7500 0.5219 0.1962  3 Pb 3.27-3.48, 1 K 3.64
17 Pb 0.7500 0.9781 0.1962  3 Pb 3.27-3.48, 1 K 3.64
18 Pb 0.9781 0.7500 0.6962  3 Pb 3.27-3.48, 1 K 3.64

Formation energy from the elements, eV/atom: -0.112
Crystal system: tetragonal
Uncorrected energy, eV per atom: -2.343